This record from Alexandria describes a relaxed Ti3VIr crystal. The functional is PBE.

Results
- calculated volume (Å³/f.u.) = 79.75
- total energy (eV per atom) = -8.729
- ΔE to the lowest computed polymorph (eV per formula unit) = 0.000
- formation energy from the elements (eV per formula unit) = -1.98
- crystal system = cubic
- space-group type = No. 221
- DOS at the Fermi energy (states/eV per atom) = 1.22

```
Ti3VIr
1.0
6.208 0.000 0.000
0.000 6.208 0.000
0.000 0.000 6.208
Ti V Ir
9 3 3
Direct
0.000 0.000 0.000 Ti
0.256 0.256 0.256 Ti
0.256 0.256 0.744 Ti
0.256 0.744 0.256 Ti
0.256 0.744 0.744 Ti
0.744 0.256 0.256 Ti
0.744 0.256 0.744 Ti
0.744 0.744 0.256 Ti
0.744 0.744 0.744 Ti
0.000 0.000 0.500 V
0.000 0.500 0.000 V
0.500 0.000 0.000 V
0.000 0.500 0.500 Ir
0.500 0.000 0.500 Ir
0.500 0.500 0.000 Ir
```